# NbRe2H2 GGA-PBE optimized geometry
# * M_tot: 0.000 μB per cell
# * E: -40.25 eV/f.u.
# * distance to the lowest polymorph of the same formula: 0.0 meV/atom
data_NbRe2H2
_cell_length_a 3.2079
_cell_length_b 3.2079
_cell_length_c 10.6096
_cell_angle_alpha 90.00
_cell_angle_beta 90.00
_cell_angle_gamma 90.00
_space_group_name_H-M_alt 'I 4/m m m'
_space_group_IT_number 139
_space_group_name_Hall '-I 4 2'
loop_
_atom_site_label
_atom_site_type_symbol
_atom_site_fract_x
_atom_site_fract_y
_atom_site_fract_z
Nb1 Nb 0.0000 0.0000 0.0000
Re1 Re 0.0000 0.0000 0.3542
H1 H 0.0000 0.5000 0.2500